Computed, not measured: a geometry-optimized K2MnIr structure at the PBE level of DFT.

Cell and atoms, written as extended XYZ:
```
4
Lattice="3.002 0.000 0.000 0.000 5.478 0.000 0.000 0.000 5.657" Properties=species:S:1:pos:R:3 pbc="T T T"
K 0.000 0.000 1.378
K 0.000 0.000 4.279
Mn 1.501 2.739 2.828
Ir 1.501 2.739 0.000
```

**Raw total energy**: -4.028 eV per atom
**Crystal system**: orthorhombic
**Space group**: Pmmm, No. 47

Computed, not measured: a geometry-optimized Sr3ReH structure at the PBE level of DFT.

Cell and atoms, written as extended XYZ:
```
5
Lattice="5.058 0.000 0.000 0.000 5.058 0.000 0.000 0.000 5.058" Properties=species:S:1:pos:R:3 pbc="T T T"
Sr 0.000 0.000 2.529
Sr 0.000 2.529 0.000
Sr 2.529 0.000 0.000
Re 2.529 2.529 2.529
H 0.000 0.000 0.000
```

**Raw total energy**: -3.558 eV per atom
**Crystal system**: cubic
**Space group**: Pm-3m, No. 221

Computed, not measured: a geometry-optimized NbTc4Pd2 structure at the PBE level of DFT.

Cell and atoms, written as extended XYZ:
```
14
Lattice="4.683 0.000 0.000 0.000 4.683 0.000 0.000 0.000 12.908" Properties=species:S:1:pos:R:3 pbc="T T T"
Nb 0.000 0.000 0.000
Nb 2.341 2.341 6.454
Tc 0.000 0.000 2.510
Tc 0.000 0.000 10.398
Tc 0.000 2.341 0.000
Tc 0.000 2.341 6.454
Tc 2.341 0.000 0.000
Tc 2.341 0.000 6.454
Tc 2.341 2.341 3.944
Tc 2.341 2.341 8.964
Pd 0.000 0.000 5.010
Pd 0.000 0.000 7.898
Pd 2.341 2.341 1.444
Pd 2.341 2.341 11.463
```

**Raw total energy**: -7.348 eV per atom
**Crystal system**: tetragonal
**Space group**: I4/mmm, No. 139